An optimized crystal structure of Fe2RhS. Source: the Alexandria database, functional PBE.

Results
DOS(E_F) (states/eV per cell): 14.85
Space group: I-42d
VASP energy (eV/atom): -6.61
ρ (g/cm³): 6.3

a b c (Å): 5.086 5.086 6.183
angles (deg): 65.71 65.71 90.00
Positions (direct):
S  0.500  0.500  0.000
S  0.250  0.750  0.500
Rh  0.000  0.000  0.000
Rh  0.750  0.250  0.500
Fe  0.593  0.125  0.250
Fe  0.157  0.625  0.250
Fe  0.375  0.407  0.750
Fe  0.875  0.843  0.750

An optimized crystal structure of CuPt. Source: the Alexandria database, functional PBE.

Results
DOS(E_F) (states/eV per cell): 15.61
Space group: I4/mmm
Energy relative to the elements (kJ per mole of atoms): 3.0
ρ (g/cm³): 14.6

a b c (Å): 7.761 7.761 3.897
angles (deg): 90.00 90.00 90.00
Positions (direct):
Cu  0.161  0.161  0.000
Cu  0.161  0.839  0.000
Cu  0.839  0.161  0.000
Cu  0.839  0.839  0.000
Cu  0.661  0.661  0.500
Cu  0.661  0.339  0.500
Cu  0.339  0.661  0.500
Cu  0.339  0.339  0.500
Pt  0.186  0.500  0.000
Pt  0.814  0.500  0.000
Pt  0.500  0.814  0.000
Pt  0.500  0.186  0.000
Pt  0.686  0.000  0.500
Pt  0.314  0.000  0.500
Pt  0.000  0.314  0.500
Pt  0.000  0.686  0.500

An optimized crystal structure of CaIr2Ru2. Source: the Alexandria database, functional PBE.

Results
DOS(E_F) (states/eV per cell): 9.65
Relative energy among the computed polymorphs (eV/f.u.): 0.238
Space group: P4/mbm
Energy relative to the elements (kJ per mole of atoms): 2.7
ρ (g/cm³): 12.6

a b c (Å): 7.690 7.690 2.784
angles (deg): 90.00 90.00 90.00
Positions (direct):
Ru  0.175  0.675  0.500
Ru  0.675  0.825  0.500
Ru  0.825  0.325  0.500
Ru  0.325  0.175  0.500
Ca  0.000  0.000  0.000
Ca  0.500  0.500  0.000
Ir  0.379  0.879  0.000
Ir  0.879  0.621  0.000
Ir  0.621  0.121  0.000
Ir  0.121  0.379  0.000